# Pm8Bi2Pb3 (PBE-GGA, relaxed)
# Calculated total energy: -4.657 eV/atom
# D(E_F): 11.85 states/eV/f.u.
# Energy of formation from the pure elements: -0.28 eV per atom
data_Pm8Bi2Pb3
_space_group_name_H-M_alt 'C 1 2/m 1'
_space_group_IT_number 12
_cell_length_a 16.507
_cell_length_b 8.656
_cell_length_c 7.810
_cell_angle_alpha 90.00
_cell_angle_beta 109.34
_cell_angle_gamma 90.00
loop_
_space_group_symop_operation_xyz
'x,y,z'
'-x,-y,-z'
'-x,y,-z'
'x,-y,z'
'x+1/2,y+1/2,z'
'-x+1/2,-y+1/2,-z'
'-x+1/2,y+1/2,-z'
'x+1/2,-y+1/2,z'
loop_
_atom_site_label
_atom_site_type_symbol
_atom_site_fract_x
_atom_site_fract_y
_atom_site_fract_z
_atom_site_occupancy
Pm1 Pm 0.075 0.000 0.264 1
Pm2 Pm 0.106 0.500 0.424 1
Pm3 Pm 0.116 0.249 0.906 1
Bi1 Bi 0.247 0.500 0.836 1
Pb1 Pb 0.000 0.223 0.500 1
Pb2 Pb 0.000 0.500 0.000 1